# HfMnNi2

HfMnNi2 after structural relaxation (GGA-PBE, Alexandria).

abc: 3.7420 3.7420 17.0840
angles: 90.00 90.00 90.00
With the nearest neighbours (Å) after each atom.
Space group I-42d (No. 122)
Asymmetric unit:
1 Hf 0.0000 0.0000 0.0000  4 Ni 2.56, 4 Mn 2.65
2 Mn 0.0000 0.0000 0.5000  4 Ni 2.47, 4 Hf 2.65
3 Ni 0.2164 0.2500 0.6250  2 Mn 2.47, 2 Ni 2.47, 2 Hf 2.56

V = 239.2 Å³ per cell
DFT formation energy = 0.235 eV/atom